# 1
# PBE+U VZn2PbF8, optimized geometry
# total DFT energy (no corrections) = -112.54 eV for the cell shown
# total magnetization = 3.00 μB/f.u.
data_VZn2PbF8
_chemical_formula_sum 'V2 Zn4 Pb2 F16'
_cell_length_a 7.3469
_cell_length_b 7.3469
_cell_length_c 7.0483
_cell_angle_alpha 90.00
_cell_angle_beta 90.00
_cell_angle_gamma 90.00
_space_group_name_H-M_alt 'I -4 m 2'
_space_group_IT_number 119
_space_group_name_Hall 'I -4 -2'
loop_
_atom_site_label
_atom_site_fract_x
_atom_site_fract_y
_atom_site_fract_z
V1 0.0000 0.0000 0.0000
Zn1 0.0000 0.0000 0.5000
Zn2 0.0000 0.5000 0.7500
Pb1 0.0000 0.5000 0.2500
F1 0.0000 0.1737 0.2971
F2 0.0000 0.2996 0.9331

---

# 2
# PBE+U VZnPbF6, optimized geometry
# total DFT energy (no corrections) = -91.60 eV for the cell shown
# total magnetization = 3.00 μB/f.u.
data_VZnPbF6
_chemical_formula_sum 'V2 Zn2 Pb2 F12'
_cell_length_a 5.5362
_cell_length_b 5.5362
_cell_length_c 10.5025
_cell_angle_alpha 90.00
_cell_angle_beta 90.00
_cell_angle_gamma 120.00
_space_group_name_H-M_alt 'P -3 1 c'
_space_group_IT_number 163
_space_group_name_Hall '-P 3 2c'
loop_
_atom_site_label
_atom_site_fract_x
_atom_site_fract_y
_atom_site_fract_z
V1 0.3333 0.6667 0.2500
Zn1 0.3333 0.6667 0.7500
Pb1 0.0000 0.0000 0.0000
F1 0.0069 0.3645 0.6430

---

# 3
# PBE+U PbW3F, optimized geometry
# total DFT energy (no corrections) = -19.70 eV for the cell shown
# E above lowest polymorph = 0 meV/atom
# total magnetization = 0.43 μB/f.u.
data_PbW3F
_chemical_formula_sum 'Pb1 W3 F1'
_cell_length_a 4.4746
_cell_length_b 4.4746
_cell_length_c 4.4746
_cell_angle_alpha 90.00
_cell_angle_beta 90.00
_cell_angle_gamma 90.00
_space_group_name_H-M_alt 'P m -3 m'
_space_group_IT_number 221
_space_group_name_Hall '-P 4 2 3'
loop_
_atom_site_label
_atom_site_fract_x
_atom_site_fract_y
_atom_site_fract_z
Pb1 0.0000 0.0000 0.0000
W1 0.0000 0.5000 0.5000
F1 0.5000 0.5000 0.5000